(1)
Rb2Sn2Pt3 PBE optimized geometry; M_tot = 0.00 μB/atom; energy of formation from the pure elements = -33.1 kJ per mole of atoms; SG = C2/m (12); N(E_F) = 2.21 states/eV per cell
1.0
-3.077 3.229 0.034
-0.639 -3.626 -6.175
-3.040 -2.969 6.858
Pt Rb Sn
3 2 2
Cartesian
-3.575 -0.334 0.786
-3.181 -3.031 -0.069
-1.539 1.615 0.017
-2.868 -2.768 3.369
-3.889 -0.597 -2.652
-5.577 -2.240 0.625
-1.179 -1.125 0.092

(2)
Si6Mo2W PBE optimized geometry; M_tot = 0.00 μB/atom; SG = C222 (21); N(E_F) = 0.33 states/eV per cell; raw formation energy = -9.538 kcal/mol of atoms
1.0
4.615 0.000 0.000
-2.307 3.993 0.000
0.000 0.000 6.624
W Si Mo
1 6 2
Cartesian
2.307 0.000 0.000
0.000 1.314 0.000
2.307 2.679 0.000
3.484 0.655 2.212
1.130 0.655 4.412
-1.177 3.338 2.212
1.177 3.338 4.412
-1.154 1.997 4.414
1.154 1.997 2.209

(3)
CoW3 PBE optimized geometry; M_tot = 0.06 μB/atom; energy of formation from the pure elements = 33.9 kJ per mole of atoms; SG = P-6m2 (187); N(E_F) = 4.76 states/eV per cell; E above lowest polymorph = 267 meV/atom
1.0
2.768 0.000 0.000
-1.384 2.397 0.000
0.000 0.000 9.087
W Co
3 1
Cartesian
0.000 1.598 2.070
0.000 0.000 4.543
0.000 1.598 7.017
0.000 0.000 0.000

Number 3 is which compound?
CoW3

Among the records above, which one has the lowest N(E_F)?
Si6Mo2W